Entry 1:
BaAc2Mg | PBE-GGA | optimized geometry

Summary:
calculated volume	41.8	Å³/atom
theoretical density	6.1	Mg/m³
total DFT energy (no corrections)	-2.79	eV per atom
ΔE to the lowest computed polymorph	129	meV per atom
energy of formation from the pure elements	0.144	eV per atom

abc: 8.745 8.745 8.745
angles: 90.00 90.00 90.00
Space group Fm-3m (No. 225)
Unique sites:
Ba (0.000, 0.000, 0.000) x4
Ac (0.250, 0.250, 0.250) x8
Mg (0.000, 0.000, 0.500) x4


Entry 2:
BaAc2Mg2 | PBE-GGA | optimized geometry

Summary:
calculated volume	40.3	Å³/atom
theoretical density	5.3	Mg/m³
total DFT energy (no corrections)	-2.60	eV per atom
energy of formation from the pure elements	0.067	eV per atom

abc: 4.171 23.852 4.047
angles: 90.00 90.00 90.00
Space group Cmmm (No. 65)
Unique sites:
Ba (0.000, 0.000, 0.000) x2
Ac (0.000, 0.182, 0.000) x4
Mg (0.000, 0.404, 0.500) x4


Entry 3:
Ba3AcMg8 | PBE-GGA | optimized geometry

Summary:
calculated volume	32.8	Å³/atom
theoretical density	3.5	Mg/m³
total DFT energy (no corrections)	-1.97	eV per atom
energy of formation from the pure elements	-0.081	eV per atom

abc: 6.5875 6.5875 10.4768
angles: 90.00 90.00 120.00
Space group P3m1 (No. 156)
Unique sites:
Ba (0.0000, 0.0000, 0.0000) x1
Ba (0.0000, 0.0000, 0.3882) x1
Ba (0.3333, 0.6667, 0.8798) x1
Ac (0.3333, 0.6667, 0.4987) x1
Mg (0.3421, 0.1710, 0.6884) x3
Mg (0.5034, 0.0068, 0.1969) x3
Mg (0.6667, 0.3333, 0.4429) x1
Mg (0.6667, 0.3333, 0.9453) x1


Entry 4:
BaAcNdMg | PBE-GGA | optimized geometry

Summary:
calculated volume	39.8	Å³/atom
theoretical density	5.6	Mg/m³
total DFT energy (no corrections)	-2.93	eV per atom
energy of formation from the pure elements	0.172	eV per atom

abc: 8.604 8.604 8.604
angles: 90.00 90.00 90.00
Space group F-43m (No. 216)
Unique sites:
Ba (0.000, 0.000, 0.000) x4
Ac (0.250, 0.250, 0.750) x4
Nd (0.000, 0.000, 0.500) x4
Mg (0.250, 0.250, 0.250) x4


Entry 5:
Ba3Ac3MgO8 | PBE-GGA | optimized geometry

Summary:
calculated volume	20.3	Å³/atom
uncorrected formation energy	-2.654	eV per atom
theoretical density	6.8	Mg/m³
total DFT energy (no corrections)	-6.61	eV per atom

abc: 7.4419 7.4419 19.0226
angles: 90.00 90.00 120.00
Space group R-3m (No. 166, hexagonal axes)
Unique sites:
Ba (0.0000, 0.5000, 0.0000) x9
Ac (0.0000, 0.5000, 0.5000) x9
Mg (0.0000, 0.0000, 0.5000) x3
O (0.0000, 0.0000, 0.2412) x6
O (0.0279, 0.5140, 0.2320) x18


Entry 6:
BaAcMgPb | PBE-GGA | optimized geometry

Summary:
calculated volume	37.3	Å³/atom
theoretical density	6.6	Mg/m³
total DFT energy (no corrections)	-3.11	eV per atom
energy of formation from the pure elements	-0.277	eV per atom

abc: 8.419 8.419 8.419
angles: 90.00 90.00 90.00
Space group F-43m (No. 216)
Unique sites:
Ba (0.000, 0.000, 0.000) x4
Ac (0.000, 0.000, 0.500) x4
Mg (0.250, 0.250, 0.250) x4
Pb (0.250, 0.250, 0.750) x4